Material: LaCd2Au
Method: DFT, PBEsol
State: relaxed

Calculated values
Electronic total energy: -3.401 eV per atom
Crystal system: cubic

a b c (Å): 7.147 7.147 7.147
angles (deg): 90.00 90.00 90.00
Space group F-43m (No. 216)
Unique sites:
La (0.000, 0.000, 0.000) (multiplicity 4)
Cd (0.000, 0.000, 0.500) (multiplicity 4)
Cd (0.250, 0.250, 0.750) (multiplicity 4)
Au (0.250, 0.250, 0.250) (multiplicity 4)

Material: NaYMnIn2
Method: DFT, PBEsol
State: relaxed

Calculated values
Electronic total energy: -3.974 eV per atom
Crystal system: tetragonal

a b c (Å): 5.793 5.793 4.948
angles (deg): 90.00 90.00 90.00
Space group P4/mmm (No. 123)
Unique sites:
Na (0.000, 0.000, 0.000) (multiplicity 1)
Y (0.500, 0.500, 0.500) (multiplicity 1)
Mn (0.500, 0.500, 0.000) (multiplicity 1)
In (0.000, 0.500, 0.500) (multiplicity 2)

no.,D(E_F) (states/eV per atom)
1,0.536
2,0.966